{
  "formula": "Tm3Th",
  "functional": "PBE",
  "state": "optimized geometry",
  "lattice": [[-0.619, 4.565, 2.020], [-4.476, -1.409, 1.811], [4.694, -3.107, 2.197]],
  "species": ["Tm", "Tm", "Th", "Tm"],
  "fractional_positions": [[0.750, 0.250, 0.500], [0.250, 0.750, 0.500], [0.000, 0.000, 0.000], [0.500, 0.500, 0.000]],
  "ef_ev_per_atom": 0.044,
  "n_ef_per_ev_atom": 1.68,
  "dft_energy_ev_per_cell": -20.7
}